No. 1
A geometry-optimized Cs3LiMn2F9 structure. Source: Alexandria via LeMat-Bulk, functional PBE with a Hubbard U.

Cell lengths 6.1335, 6.1335, 7.5423 Å; angles 90.00, 90.00, 120.00 degrees
Fractional coordinates of all 15 atoms:
Cs: 0.0000 0.0000 0.0000
Cs: 0.3333 0.6667 0.6540
Cs: 0.6667 0.3333 0.3460
Li: 0.0000 0.0000 0.5000
Mn: 0.3333 0.6667 0.1643
Mn: 0.6667 0.3333 0.8357
F: 0.0000 0.5000 0.0000
F: 0.1747 0.3495 0.3169
F: 0.1747 0.8253 0.3169
F: 0.3495 0.1747 0.6831
F: 0.5000 0.0000 0.0000
F: 0.5000 0.5000 0.0000
F: 0.6505 0.8253 0.3169
F: 0.8253 0.1747 0.6831
F: 0.8253 0.6505 0.6831

Summary:
Energy in Ha/atom: -0.1876
M_tot in Bohr magnetons per cell: 9.000


No. 2
A geometry-optimized CsLiMn2F8 structure. Source: Alexandria via LeMat-Bulk, functional PBE with a Hubbard U.

Cell lengths 5.1738, 5.2169, 7.5923 Å; angles 81.33, 84.24, 79.76 degrees
Fractional coordinates of all 12 atoms:
Cs: 0.0000 0.0000 0.0000
Li: 0.0000 0.0000 0.5000
Mn: 0.5002 0.4846 0.6976
Mn: 0.4998 0.5154 0.3024
F: 0.2061 0.7768 0.3236
F: 0.2070 0.7491 0.6964
F: 0.3409 0.3116 0.4992
F: 0.3974 0.3252 0.9195
F: 0.6026 0.6748 0.0805
F: 0.6591 0.6884 0.5008
F: 0.7930 0.2509 0.3036
F: 0.7939 0.2232 0.6764

Summary:
Energy in Ha/atom: -0.1941
M_tot in Bohr magnetons per cell: 8.000


No. 3
A geometry-optimized Cs2LiMnF6 structure. Source: Alexandria via LeMat-Bulk, functional PBE with a Hubbard U.

Cell lengths 6.3568, 7.8958, 6.7785 Å; angles 90.00, 90.00, 90.00 degrees
Fractional coordinates of all 20 atoms:
Cs: 0.2500 0.0120 0.2172
Cs: 0.2500 0.4880 0.2172
Cs: 0.7500 0.5120 0.7828
Cs: 0.7500 0.9880 0.7828
Li: 0.2500 0.7500 0.6265
Li: 0.7500 0.2500 0.3735
Mn: 0.2500 0.2500 0.7122
Mn: 0.7500 0.7500 0.2878
F: 0.0247 0.2500 0.5167
F: 0.0432 0.2500 0.9142
F: 0.2500 0.5018 0.7116
F: 0.2500 0.9982 0.7116
F: 0.4568 0.2500 0.9142
F: 0.4753 0.2500 0.5167
F: 0.5247 0.7500 0.4833
F: 0.5432 0.7500 0.0858
F: 0.7500 0.0018 0.2884
F: 0.7500 0.4982 0.2884
F: 0.9568 0.7500 0.0858
F: 0.9753 0.7500 0.4833

Summary:
Energy in Ha/atom: -0.1773
M_tot in Bohr magnetons per cell: 4.000


No. 4
A geometry-optimized Cs2LiMnF6 structure. Source: Alexandria via LeMat-Bulk, functional PBE with a Hubbard U.

Cell lengths 6.3073, 6.3073, 6.3073 Å; angles 124.53, 124.53, 82.32 degrees
Fractional coordinates of all 10 atoms:
Cs: 0.2500 0.7500 0.5000
Cs: 0.7500 0.2500 0.5000
Li: 0.0000 0.0000 0.0000
Mn: 0.5000 0.5000 0.0000
F: 0.2610 0.2610 0.5220
F: 0.2610 0.7390 0.0000
F: 0.3011 0.3011 0.0000
F: 0.6989 0.6989 0.0000
F: 0.7390 0.2610 0.0000
F: 0.7390 0.7390 0.4780

Summary:
Energy in Ha/atom: -0.1764
M_tot in Bohr magnetons per cell: 2.000


No. 5
A geometry-optimized CsLi2MoF8 structure. Source: Alexandria via LeMat-Bulk, functional PBE with a Hubbard U.

Cell lengths 5.1686, 5.1686, 8.0621 Å; angles 101.49, 101.49, 70.86 degrees
Fractional coordinates of all 12 atoms:
Cs: 0.0000 0.0000 0.0000
Li: 0.4993 0.4993 0.8330
Li: 0.5007 0.5007 0.1670
Mo: 0.0000 0.0000 0.5000
F: 0.2163 0.7496 0.3260
F: 0.2277 0.2277 0.5332
F: 0.2504 0.7837 0.6740
F: 0.3408 0.3408 0.9592
F: 0.6592 0.6592 0.0408
F: 0.7496 0.2163 0.3260
F: 0.7723 0.7723 0.4668
F: 0.7837 0.2504 0.6740

Summary:
Energy in Ha/atom: -0.1782
M_tot in Bohr magnetons per cell: 0.998


No. 6
A geometry-optimized Cs2LiMoF6 structure. Source: Alexandria via LeMat-Bulk, functional PBE with a Hubbard U.

Cell lengths 6.2257, 6.2257, 6.2257 Å; angles 60.00, 60.00, 60.00 degrees
Fractional coordinates of all 10 atoms:
Cs: 0.2500 0.2500 0.2500
Cs: 0.7500 0.7500 0.7500
Li: 0.0000 0.0000 0.0000
Mo: 0.5000 0.5000 0.5000
F: 0.2586 0.2586 0.7414
F: 0.2586 0.7414 0.2586
F: 0.2586 0.7414 0.7414
F: 0.7414 0.2586 0.2586
F: 0.7414 0.2586 0.7414
F: 0.7414 0.7414 0.2586

Summary:
Energy in Ha/atom: -0.1824
M_tot in Bohr magnetons per cell: 3.000


No. 7
A geometry-optimized Cs2LiMo3F12 structure. Source: Alexandria via LeMat-Bulk, functional PBE with a Hubbard U.

Cell lengths 7.7431, 7.7431, 7.7431 Å; angles 60.42, 60.42, 60.42 degrees
Fractional coordinates of all 18 atoms:
Cs: 0.1391 0.1391 0.1391
Cs: 0.8609 0.8609 0.8609
Li: 0.5000 0.5000 0.5000
Mo: 0.0000 0.5000 0.5000
Mo: 0.5000 0.0000 0.5000
Mo: 0.5000 0.5000 0.0000
F: 0.1741 0.1741 0.5716
F: 0.1741 0.5716 0.1741
F: 0.1773 0.5701 0.5701
F: 0.4284 0.8259 0.8259
F: 0.4299 0.4299 0.8227
F: 0.4299 0.8227 0.4299
F: 0.5701 0.1773 0.5701
F: 0.5701 0.5701 0.1773
F: 0.5716 0.1741 0.1741
F: 0.8227 0.4299 0.4299
F: 0.8259 0.4284 0.8259
F: 0.8259 0.8259 0.4284

Summary:
Energy in Ha/atom: -0.1959
M_tot in Bohr magnetons per cell: 9.000


No. 8
A geometry-optimized CsLiMoF6 structure. Source: Alexandria via LeMat-Bulk, functional PBE with a Hubbard U.

Cell lengths 5.4498, 5.4750, 6.5252 Å; angles 90.32, 90.67, 118.17 degrees
Fractional coordinates of all 9 atoms:
Cs: 0.0000 0.0000 0.0000
Li: 0.3237 0.6802 0.5002
Mo: 0.6623 0.3392 0.5001
F: 0.3780 0.0225 0.6667
F: 0.3790 0.3843 0.3287
F: 0.6125 0.0224 0.3223
F: 0.6187 0.6222 0.6706
F: 0.9792 0.6257 0.3346
F: 0.9814 0.3895 0.6783

Summary:
Energy in Ha/atom: -0.1878
M_tot in Bohr magnetons per cell: 2.000


- The highest energy belongs to which entry?
  number 4